## A
The following is a PBE calculation of a geometry-optimized PrSmB4 structure, from OQMD.

Cell lengths 5.2885, 5.2885, 5.2885 Å; angles 143.23, 113.75, 78.24 degrees
Fractional coordinates of all 6 atoms:
Pr  0.0000  0.0000  0.0000
Sm  0.5000  0.5000  0.0000
B  0.0847  0.7512  0.3335
B  0.4177  0.7512  0.6665
B  0.5823  0.2488  0.3335
B  0.9153  0.2488  0.6665

Output
The space-group type is No. 71. As for the magnetization: 0.01 μB/cell.



## B
The following is a PBE calculation of a geometry-optimized PrSmB4 structure, from OQMD.

Cell lengths 3.3333, 3.3333, 8.2074 Å; angles 90.00, 90.00, 120.00 degrees
Fractional coordinates of all 6 atoms:
Pr  0.0000  0.0000  0.0000
Sm  0.0000  0.0000  0.5000
B  0.3333  0.6667  0.2568
B  0.3333  0.6667  0.7432
B  0.6667  0.3333  0.2568
B  0.6667  0.3333  0.7432

Output
The space-group type is No. 191. As for the magnetization: 0.01 μB/cell.



Last place for stability: A



## A
The following is a PBE calculation of a geometry-optimized PrTaB structure, from OQMD.

Cell lengths 4.3317, 4.3317, 4.3317 Å; angles 60.00, 60.00, 60.00 degrees
Fractional coordinates of all 3 atoms:
Pr  0.0000  0.0000  0.0000
Ta  0.5000  0.5000  0.5000
B  0.2500  0.2500  0.2500

Output
The space-group type is No. 216. As for the magnetization: 0.01 μB/cell.



## B
The following is a PBE calculation of a geometry-optimized PrTaB structure, from OQMD.

Cell lengths 4.6419, 4.6419, 4.6419 Å; angles 60.00, 60.00, 60.00 degrees
Fractional coordinates of all 3 atoms:
Pr  0.0000  0.0000  0.0000
Ta  0.2500  0.2500  0.2500
B  0.7500  0.7500  0.7500

Output
The space-group type is No. 216. As for the magnetization: 2.38 μB/cell.



Last place for stability: B



## A
The following is a PBE calculation of a geometry-optimized TbPrB4 structure, from OQMD.

Cell lengths 3.3196, 3.3196, 8.0954 Å; angles 90.00, 90.00, 120.00 degrees
Fractional coordinates of all 6 atoms:
Tb  0.0000  0.0000  0.0000
Pr  0.0000  0.0000  0.5000
B  0.3333  0.6667  0.2376
B  0.3333  0.6667  0.7624
B  0.6667  0.3333  0.2376
B  0.6667  0.3333  0.7624

Output
The space-group type is No. 191. As for the magnetization: 0.01 μB/cell.



## B
The following is a PBE calculation of a geometry-optimized TbPrB4 structure, from OQMD.

Cell lengths 5.2393, 5.2393, 5.2393 Å; angles 143.03, 113.26, 78.82 degrees
Fractional coordinates of all 6 atoms:
Tb  0.0000  0.0000  0.0000
Pr  0.5000  0.5000  0.0000
B  0.0814  0.7477  0.3336
B  0.4141  0.7477  0.6664
B  0.5859  0.2523  0.3336
B  0.9186  0.2523  0.6664

Output
The space-group type is No. 71. As for the magnetization: 0.01 μB/cell.



Last place for stability: B